No. 1
# RbBaAg2, optimized geometry, DFT PBEsol
# **ΔH_f (0 K)**: 0.050 eV/atom
data_RbBaAg2
_chemical_formula_sum 'Rb1 Ba1 Ag2'
_space_group_name_H-M_alt 'P 1'
_space_group_IT_number 1
_cell_length_a 5.7167
_cell_length_b 5.7167
_cell_length_c 5.7167
_cell_angle_alpha 60.00
_cell_angle_beta 60.00
_cell_angle_gamma 60.00
loop_
_space_group_symop_operation_xyz
'x,y,z'
loop_
_atom_site_label
_atom_site_type_symbol
_atom_site_fract_x
_atom_site_fract_y
_atom_site_fract_z
_atom_site_occupancy
Rb1 Rb 0.0000 0.0000 0.0000 1
Ba1 Ba 0.5000 0.5000 0.5000 1
Ag1 Ag 0.2500 0.2500 0.2500 1
Ag2 Ag 0.7500 0.7500 0.7500 1



No. 2
# Zn3Ag, optimized geometry, DFT PBEsol
# **ΔH_f (0 K)**: -0.059 eV/atom
data_Zn3Ag
_chemical_formula_sum 'Zn6 Ag2'
_space_group_name_H-M_alt 'P 1'
_space_group_IT_number 1
_cell_length_a 4.3797
_cell_length_b 5.4795
_cell_length_c 4.8167
_cell_angle_alpha 90.00
_cell_angle_beta 90.00
_cell_angle_gamma 90.00
loop_
_space_group_symop_operation_xyz
'x,y,z'
loop_
_atom_site_label
_atom_site_type_symbol
_atom_site_fract_x
_atom_site_fract_y
_atom_site_fract_z
_atom_site_occupancy
Zn1 Zn 0.2500 0.0024 0.1631 1
Zn2 Zn 0.2500 0.4976 0.1631 1
Zn3 Zn 0.2500 0.7500 0.6759 1
Zn4 Zn 0.7500 0.2500 0.3241 1
Zn5 Zn 0.7500 0.5024 0.8369 1
Zn6 Zn 0.7500 0.9976 0.8369 1
Ag1 Ag 0.2500 0.2500 0.6602 1
Ag2 Ag 0.7500 0.7500 0.3398 1



No. 3
# Sr2Hg2Pb, optimized geometry, DFT PBEsol
# **Energy relative to the lowest polymorph listed for this composition**: 193 meV/atom
# **ΔH_f (0 K)**: -0.336 eV/atom
data_Sr2Hg2Pb
_chemical_formula_sum 'Sr2 Hg2 Pb1'
_space_group_name_H-M_alt 'P 1'
_space_group_IT_number 1
_cell_length_a 6.2335
_cell_length_b 6.2335
_cell_length_c 6.2335
_cell_angle_alpha 120.73
_cell_angle_beta 120.73
_cell_angle_gamma 88.75
loop_
_space_group_symop_operation_xyz
'x,y,z'
loop_
_atom_site_label
_atom_site_type_symbol
_atom_site_fract_x
_atom_site_fract_y
_atom_site_fract_z
_atom_site_occupancy
Sr1 Sr 0.2500 0.7500 0.5000 1
Sr2 Sr 0.7500 0.2500 0.5000 1
Hg1 Hg 0.1519 0.1519 0.0000 1
Hg2 Hg 0.8481 0.8481 0.0000 1
Pb1 Pb 0.5000 0.5000 0.0000 1



No. 4
# LaTi2Ir2, optimized geometry, DFT PBEsol
# **ΔH_f (0 K)**: -0.753 eV/atom
data_LaTi2Ir2
_chemical_formula_sum 'La1 Ti2 Ir2'
_space_group_name_H-M_alt 'P 1'
_space_group_IT_number 1
_cell_length_a 6.1433
_cell_length_b 6.1433
_cell_length_c 6.1433
_cell_angle_alpha 139.39
_cell_angle_beta 139.39
_cell_angle_gamma 58.79
loop_
_space_group_symop_operation_xyz
'x,y,z'
loop_
_atom_site_label
_atom_site_type_symbol
_atom_site_fract_x
_atom_site_fract_y
_atom_site_fract_z
_atom_site_occupancy
La1 La 0.0000 0.0000 0.0000 1
Ti1 Ti 0.2500 0.7500 0.5000 1
Ti2 Ti 0.7500 0.2500 0.5000 1
Ir1 Ir 0.3764 0.3764 0.0000 1
Ir2 Ir 0.6236 0.6236 0.0000 1